{"formula": "Ho5Pb4C", "functional": "PBE", "state": "optimized geometry", "lattice": [[-2.706, -4.992, 2.221], [4.642, -5.323, 2.059], [-1.100, 0.108, 7.273]], "species": ["Pb", "C", "Ho", "Ho", "Ho", "Pb", "Pb", "Pb", "Ho", "Ho"], "fractional_positions": [[0.564, 0.604, 0.274], [0.051, 0.000, 0.000], [0.110, 0.662, 0.118], [0.772, 0.118, 0.338], [0.228, 0.882, 0.662], [0.838, 0.726, 0.604], [0.169, 0.274, 0.396], [0.443, 0.396, 0.726], [0.890, 0.338, 0.882], [0.445, 0.000, 0.000]], "ef_ev_per_atom": -0.318, "final_energy_ev_per_atom": -5.013, "sg": "I4 (79)", "magmom_total_mub_per_cell": 0.0}